Crystalline Bi3AuC at its relaxed geometry, computed with PBE-GGA.

energy above the most stable polymorph in this dataset = 0.871 eV/atom
total magnetic moment = 1.0 μB per formula unit
DOS(E_F) = 5.46 states/eV/f.u.
DFT total energy = -3.0222 eV/atom
energy relative to the elements = 1.8066 eV per atom

a b c (Å): 5.565 5.565 5.565
angles (deg): 90.00 90.00 90.00
Space group Pm-3m (No. 221)
One atom of each set of equivalent atoms:
Bi 0.000 0.000 0.500 x3
Au 0.000 0.000 0.000 x1
C 0.500 0.500 0.500 x1


Crystalline K4Ac3ZrSe8 at its relaxed geometry, computed with PBE-GGA.

energy relative to the elements, uncorrected = -1.64 eV/atom
total magnetic moment = 0.9 μB per formula unit
DOS(E_F) = 4.87 states/eV/f.u.
DFT total energy = -4.9646 eV/atom

a b c (Å): 8.8636 8.8636 23.2133
angles (deg): 90.00 90.00 120.00
Space group R-3m (No. 166, hexagonal axes)
One atom of each set of equivalent atoms:
K 0.0000 0.0000 0.0000 x3
K 0.0000 0.5000 0.0000 x9
Ac 0.0000 0.5000 0.5000 x9
Zr 0.0000 0.0000 0.5000 x3
Se 0.0000 0.0000 0.2418 x6
Se 0.0283 0.5142 0.2362 x18


Crystalline KZnP2 at its relaxed geometry, computed with PBE-GGA.

total magnetic moment = 0.0 μB per formula unit
DOS(E_F) = 1.63 states/eV/f.u.
DFT total energy = -3.0297 eV/atom
energy relative to the elements = 0.2681 eV per atom

a b c (Å): 3.2678 3.2678 26.2164
angles (deg): 90.00 90.00 120.00
Space group R-3m (No. 166, hexagonal axes)
One atom of each set of equivalent atoms:
K 0.0000 0.0000 0.0000 x3
Zn 0.0000 0.0000 0.5000 x3
P 0.0000 0.0000 0.2334 x6


Crystalline LaH8Rh3Au2 at its relaxed geometry, computed with PBE-GGA.

total magnetic moment = 0.0 μB per formula unit
DOS(E_F) = 3.47 states/eV/f.u.
DFT total energy = -4.4557 eV/atom

a b c (Å): 5.8385 5.8385 14.4958
angles (deg): 90.00 90.00 120.00
Space group R3m (No. 160, hexagonal axes)
One atom of each set of equivalent atoms:
La 0.0000 0.0000 0.0000 x3
H 0.0000 0.0000 0.3918 x3
H 0.0000 0.0000 0.8395 x3
H 0.0244 0.5122 0.8255 x9
H 0.0831 0.5415 0.4011 x9
Rh 0.0035 0.5018 0.1266 x9
Au 0.0000 0.0000 0.2607 x3
Au 0.0000 0.0000 0.6173 x3


Crystalline HgAuBr2 at its relaxed geometry, computed with PBE-GGA.

energy relative to the elements, uncorrected = -0.05 eV/atom
energy above the most stable polymorph in this dataset = 0.067 eV/atom
total magnetic moment = 0.0 μB per formula unit
DOS(E_F) = 2.04 states/eV/f.u.
DFT total energy = -1.7853 eV/atom

a b c (Å): 4.514 3.902 7.652
angles (deg): 90.00 92.05 90.00
Space group P2/m (No. 10)
One atom of each set of equivalent atoms:
Hg 0.000 0.000 0.000 x1
Au 0.500 0.000 0.500 x1
Br 0.322 0.500 0.292 x2


Crystalline AgOs2Rh2 at its relaxed geometry, computed with PBE-GGA.

energy above the most stable polymorph in this dataset = 0.000 eV/atom
total magnetic moment = 0.0 μB per formula unit
DOS(E_F) = 4.84 states/eV/f.u.
DFT total energy = -7.6059 eV/atom
energy relative to the elements = 0.3968 eV per atom

a b c (Å): 7.612 7.612 2.727
angles (deg): 90.00 90.00 90.00
Space group P4/mbm (No. 127)
One atom of each set of equivalent atoms:
Ag 0.000 0.000 0.000 x2
Os 0.118 0.382 0.000 x4
Rh 0.175 0.675 0.500 x4